No. 1
Material: Cu3Ag7
Method: DFT, GGA-PBE
State: relaxed

Results
As for the formation energy from the elements: 0.065 eV/atom. The space group is Cm (8). The calculation puts the volume at 161.9 Å³/f.u. Its relative energy among the computed polymorphs is 0.036 eV per atom.

Geometry as POSCAR:
```
Cu3Ag7
1.0
7.460 -1.439 0.000
7.460 1.439 0.000
-2.041 0.000 7.540
Cu Ag
3 7
Cartesian
0.000 0.000 0.000
4.565 0.000 5.537
7.126 0.000 6.244
1.574 0.000 4.741
2.728 0.000 0.781
5.573 0.000 1.625
8.262 0.000 2.307
11.057 0.000 3.269
10.177 0.000 6.863
13.779 0.000 4.056
```

---

No. 2
Material: Cu3Ag2
Method: DFT, GGA-PBE
State: relaxed

Results
As for the formation energy from the elements: 0.082 eV/atom. The space group is Cm (8). The calculation puts the volume at 71.4 Å³/f.u. Its relative energy among the computed polymorphs is 0.041 eV per atom.

Geometry as POSCAR:
```
Cu3Ag2
1.0
4.495 -1.380 0.000
4.495 1.380 0.000
-2.090 0.000 11.505
Cu Ag
6 4
Cartesian
0.000 0.000 0.000
2.548 0.000 1.004
3.562 0.000 5.340
5.077 0.000 1.950
4.343 0.000 10.470
7.654 0.000 3.056
-0.526 0.000 7.922
1.104 0.000 4.162
1.884 0.000 9.285
6.052 0.000 6.604
```

---

No. 3
Material: Cu3Ag2
Method: DFT, GGA-PBE
State: relaxed

Results
As for the formation energy from the elements: 0.097 eV/atom. The space group is C2/m (12). The calculation puts the volume at 71.6 Å³/f.u. Its relative energy among the computed polymorphs is 0.055 eV per atom.

Geometry as POSCAR:
```
Cu3Ag2
1.0
4.386 -1.890 0.000
4.386 1.890 0.000
-0.268 0.000 8.629
Cu Ag
6 4
Cartesian
0.371 0.000 3.157
1.318 0.000 0.431
3.015 0.000 3.930
5.490 0.000 4.698
7.187 0.000 8.198
8.134 0.000 5.472
1.998 0.000 6.378
3.917 0.000 1.315
4.588 0.000 7.314
6.507 0.000 2.251
```